# 1
The following is a DFT calculation (PBE) of a relaxed LiYHgF6 crystal.

For the uncorrected formation energy, the calculation gives -2.908 eV per atom. The value obtained for the calculated density is 5.0 Mg/m³. The volume comes out at 15.15 Å³/atom. Its total energy is -92.2 eV/cell.

The space group is P4_2nm (No. 102) and the conventional cell measures 5.120, 5.120 and 10.400 Å, with angles of 90.00, 90.00 and 90.00 degrees. The distinct sites, in fractional coordinates, are Li at (0.000, 0.000, 0.000), Y at (0.000, 0.000, 0.340), Hg at (0.000, 0.000, 0.671), F at (0.184, 0.184, 0.169), F at (0.197, 0.197, 0.851) and F at (0.209, 0.209, 0.494).

# 2
The following is a DFT calculation (PBE) of a relaxed LiZnHgF5 crystal.

For the uncorrected formation energy, the calculation gives -2.059 eV per atom. The value obtained for the calculated density is 5.3 Mg/m³. The volume comes out at 14.52 Å³/atom. Its total energy is -117.3 eV/cell.

The space group is C2/c (No. 15) and the conventional cell measures 6.805, 9.053 and 8.199 Å, with angles of 90.00, 113.07 and 90.00 degrees. The distinct sites, in fractional coordinates, are Li at (0.000, 0.190, 0.250), Zn at (0.000, 0.133, 0.750), Hg at (0.000, 0.500, 0.000), F at (0.000, 0.354, 0.750), F at (0.136, 0.037, 0.418) and F at (0.185, 0.329, 0.212).

# 3
The following is a DFT calculation (PBE) of a relaxed Li2ZnHgF6 crystal.

For the uncorrected formation energy, the calculation gives -2.283 eV per atom. The value obtained for the calculated density is 5.5 Mg/m³. The volume comes out at 11.96 Å³/atom. Its total energy is -118.4 eV/cell.

The space group is R3 (No. 146, hexagonal axes) and the conventional cell measures 5.3693, 5.3693 and 14.3768 Å, with angles of 90.00, 90.00 and 120.00 degrees. The distinct sites, in fractional coordinates, are Li at (0.0000, 0.0000, 0.0000), Li at (0.0000, 0.0000, 0.4906), Zn at (0.0000, 0.0000, 0.7014), Hg at (0.0000, 0.0000, 0.2140), F at (0.0071, 0.3262, 0.0940) and F at (0.0207, 0.6142, 0.2676).